KCu2AgBr6 after structural relaxation, computed with PBE.

Values from the calculation:
Formation energy without anion corrections in eV per formula unit: -5.4
VASP energy in eV per atom: -2.753

Cell: 7.1117 7.1117 8.7009 Å, 65.88 65.88 60.00°
Positions (direct):
Br: 0.5475 0.2723 0.2823
Br: 0.4525 0.7277 0.7177
Br: 0.2723 0.8979 0.2823
Br: 0.8979 0.5475 0.2823
Br: 0.7277 0.1021 0.7177
Br: 0.1021 0.4525 0.7177
Cu: 0.7667 0.7667 0.7000
Cu: 0.2333 0.2333 0.3000
Ag: 0.5000 0.5000 0.5000
K: 0.0000 0.0000 0.0000